# CuRuCl

An optimized crystal structure of CuRuCl (PBE, Alexandria).

Output
The energy above the most stable polymorph in this dataset comes out at 0.0 meV/atom. The calculation puts the total magnetization at 1.0 μB/f.u. The calculation puts the formation energy from raw total energies at 0.4529 eV/atom. The calculation puts the density of states at the Fermi level at 2.67 states/eV/cell.

Structure (CIF):
```
data_CuRuCl
_symmetry_space_group_name_H-M 'P 3 m 1'
_symmetry_Int_Tables_number 156
_cell_length_a 2.9630
_cell_length_b 2.9630
_cell_length_c 5.8874
_cell_angle_alpha 90.00
_cell_angle_beta 90.00
_cell_angle_gamma 120.00
loop_
_symmetry_equiv_pos_as_xyz
'x,y,z'
'-y,x-y,z'
'-x+y,-x,z'
'-y,-x,z'
'-x+y,y,z'
'x,x-y,z'
loop_
_atom_site_label
_atom_site_type_symbol
_atom_site_fract_x
_atom_site_fract_y
_atom_site_fract_z
Cu1 Cu 0.0000 0.0000 0.0000
Ru1 Ru 0.6667 0.3333 0.3294
Cl1 Cl 0.3333 0.6667 0.6503
```

# TaSi2Te

An optimized crystal structure of TaSi2Te (PBE, Alexandria).

Output
The calculation puts the total magnetization at 0.0 μB/f.u. The calculation puts the formation energy from raw total energies at 0.7717 eV/atom. The calculation puts the density of states at the Fermi level at 20.22 states/eV/cell.

Structure (CIF):
```
data_TaSi2Te
_symmetry_space_group_name_H-M 'I -4 2 d'
_symmetry_Int_Tables_number 122
_symmetry_space_group_name_Hall 'I -4 2bw'
_cell_length_a 6.156
_cell_length_b 6.156
_cell_length_c 11.511
_cell_angle_alpha 90.00
_cell_angle_beta 90.00
_cell_angle_gamma 90.00
loop_
_atom_site_label
_atom_site_type_symbol
_atom_site_fract_x
_atom_site_fract_y
_atom_site_fract_z
Ta1 Ta 0.000 0.000 0.000
Si1 Si 0.221 0.250 0.125
Te1 Te 0.000 0.000 0.500
```

# SrAlIn3

An optimized crystal structure of SrAlIn3 (PBE, Alexandria).

Output
The energy above the most stable polymorph in this dataset comes out at 0.0 meV/atom. The calculation puts the total magnetization at 0.0 μB/f.u. The calculation puts the density of states at the Fermi level at 5.94 states/eV/cell. The value obtained for the formation energy is -1.2 eV/f.u.

Structure (CIF):
```
data_SrAlIn3
_symmetry_space_group_name_H-M 'F m m 2'
_symmetry_Int_Tables_number 42
_symmetry_space_group_name_Hall 'F 2 -2'
_cell_length_a 6.827
_cell_length_b 6.835
_cell_length_c 11.888
_cell_angle_alpha 90.00
_cell_angle_beta 90.00
_cell_angle_gamma 90.00
loop_
_atom_site_label
_atom_site_type_symbol
_atom_site_fract_x
_atom_site_fract_y
_atom_site_fract_z
Sr1 Sr 0.000 0.000 0.000
Al1 Al 0.000 0.000 0.380
In1 In 0.000 0.000 0.607
In2 In 0.250 0.250 0.255
```

# Er5MgRh6

An optimized crystal structure of Er5MgRh6 (PBE, Alexandria).

Output
The calculation puts the total magnetization at 0.0 μB/f.u. The calculation puts the density of states at the Fermi level at 8.03 states/eV/cell. The value obtained for the formation energy is -10.7 eV/f.u.

Structure (CIF):
```
data_Er5MgRh6
_symmetry_space_group_name_H-M 'C 1 2/m 1'
_symmetry_Int_Tables_number 12
_cell_length_a 8.224
_cell_length_b 14.195
_cell_length_c 4.724
_cell_angle_alpha 90.00
_cell_angle_beta 124.97
_cell_angle_gamma 90.00
loop_
_symmetry_equiv_pos_as_xyz
'x,y,z'
'-x,-y,-z'
'-x,y,-z'
'x,-y,z'
'x+1/2,y+1/2,z'
'-x+1/2,-y+1/2,-z'
'-x+1/2,y+1/2,-z'
'x+1/2,-y+1/2,z'
loop_
_atom_site_label
_atom_site_type_symbol
_atom_site_fract_x
_atom_site_fract_y
_atom_site_fract_z
Er1 Er 0.000 0.000 0.000
Er2 Er 0.000 0.170 0.500
Er3 Er 0.000 0.342 0.000
Mg1 Mg 0.000 0.500 0.500
Rh1 Rh 0.246 0.000 0.745
Rh2 Rh 0.249 0.166 0.249
```

# LiDy2Hg6

An optimized crystal structure of LiDy2Hg6 (PBE, Alexandria).

Output
The energy above the most stable polymorph in this dataset comes out at 0.0 meV/atom. The calculation puts the total magnetization at 0.0 μB/f.u. The calculation puts the density of states at the Fermi level at 6.11 states/eV/cell. The value obtained for the formation energy is -3.2 eV/f.u.

Structure (CIF):
```
data_LiDy2Hg6
_symmetry_space_group_name_H-M 'P 42/m n m'
_symmetry_Int_Tables_number 136
_symmetry_space_group_name_Hall '-P 4n 2n'
_cell_length_a 9.185
_cell_length_b 9.185
_cell_length_c 4.964
_cell_angle_alpha 90.00
_cell_angle_beta 90.00
_cell_angle_gamma 90.00
loop_
_atom_site_label
_atom_site_type_symbol
_atom_site_fract_x
_atom_site_fract_y
_atom_site_fract_z
Li1 Li 0.000 0.000 0.000
Dy1 Dy 0.207 0.207 0.500
Hg1 Hg 0.039 0.330 0.000
Hg2 Hg 0.126 0.874 0.500
```

# ZrCrB

An optimized crystal structure of ZrCrB (PBE, Alexandria).

Output
The energy above the most stable polymorph in this dataset comes out at 67.4 meV/atom. The calculation puts the total magnetization at 0.0 μB/f.u. The calculation puts the density of states at the Fermi level at 3.87 states/eV/cell. The value obtained for the formation energy is -1.1 eV/f.u.

Structure (CIF):
```
data_ZrCrB
_symmetry_space_group_name_H-M 'P 1 21/m 1'
_symmetry_Int_Tables_number 11
_cell_length_a 4.731
_cell_length_b 3.102
_cell_length_c 5.439
_cell_angle_alpha 90.00
_cell_angle_beta 102.47
_cell_angle_gamma 90.00
loop_
_symmetry_equiv_pos_as_xyz
'x,y,z'
'-x,-y,-z'
'-x,y+1/2,-z'
'x,-y+1/2,z'
loop_
_atom_site_label
_atom_site_type_symbol
_atom_site_fract_x
_atom_site_fract_y
_atom_site_fract_z
Zr1 Zr 0.056 0.250 0.259
Cr1 Cr 0.456 0.250 0.829
B1 B 0.412 0.750 0.535
```

# Nd3Ho4Sc4

An optimized crystal structure of Nd3Ho4Sc4 (PBE, Alexandria).

Output
The calculation puts the total magnetization at 0.0 μB/f.u. The calculation puts the density of states at the Fermi level at 31.24 states/eV/cell. The value obtained for the formation energy is 2.2 eV/f.u.

Structure (CIF):
```
data_Nd3Ho4Sc4
_symmetry_space_group_name_H-M 'A m m 2'
_symmetry_Int_Tables_number 38
_cell_length_a 11.327
_cell_length_b 5.536
_cell_length_c 10.699
_cell_angle_alpha 90.00
_cell_angle_beta 90.00
_cell_angle_gamma 90.00
loop_
_symmetry_equiv_pos_as_xyz
'x,y,z'
'-x,-y,z'
'-x,y,z'
'x,-y,z'
'x,y+1/2,z+1/2'
'-x,-y+1/2,z+1/2'
'-x,y+1/2,z+1/2'
'x,-y+1/2,z+1/2'
loop_
_atom_site_label
_atom_site_type_symbol
_atom_site_fract_x
_atom_site_fract_y
_atom_site_fract_z
Nd1 Nd 0.000 0.000 0.000
Nd2 Nd 0.320 0.000 0.141
Ho1 Ho 0.000 0.000 0.684
Ho2 Ho 0.226 0.000 0.485
Ho3 Ho 0.500 0.000 0.723
Sc1 Sc 0.000 0.000 0.310
Sc2 Sc 0.243 0.000 0.821
Sc3 Sc 0.500 0.000 0.401
```

# CdTe2Se2

An optimized crystal structure of CdTe2Se2 (PBE, Alexandria).

Output
The energy above the most stable polymorph in this dataset comes out at 84.9 meV/atom. The calculation puts the total magnetization at 0.0 μB/f.u. The calculation puts the formation energy from raw total energies at 0.0452 eV/atom. The calculation puts the density of states at the Fermi level at 3.75 states/eV/cell.

Structure (CIF):
```
data_CdTe2Se2
_symmetry_space_group_name_H-M 'I 4/m m m'
_symmetry_Int_Tables_number 139
_symmetry_space_group_name_Hall '-I 4 2'
_cell_length_a 5.914
_cell_length_b 5.914
_cell_length_c 10.080
_cell_angle_alpha 90.00
_cell_angle_beta 90.00
_cell_angle_gamma 90.00
loop_
_atom_site_label
_atom_site_type_symbol
_atom_site_fract_x
_atom_site_fract_y
_atom_site_fract_z
Cd1 Cd 0.000 0.000 0.000
Te1 Te 0.000 0.000 0.266
Se1 Se 0.000 0.500 0.250
```